Record 1
This record from Alexandria describes a relaxed Y4Mg crystal. The functional is PBE.

Its formation energy is 0.032 eV/atom. The calculation puts the distance to the lowest polymorph of the same formula at 5.3 kJ per mole of atoms.

Unit cell a=7.798 b=7.798 c=6.065 alpha=49.99 beta=49.99 gamma=90.00
Element x y z (fractional)
Y 0.394 0.805 0.000
Y 0.606 0.195 0.000
Y 0.195 0.394 0.000
Y 0.805 0.606 0.000
Mg 0.000 0.000 0.000

Record 2
This record from Alexandria describes a relaxed Tb2YSc2 crystal. The functional is PBE.

Its formation energy is 0.052 eV/atom. The calculation puts the distance to the lowest polymorph of the same formula at 0.0 kJ per mole of atoms.

Unit cell a=6.008 b=6.942 c=14.035 alpha=90.00 beta=98.19 gamma=90.00
Element x y z (fractional)
Sc 0.748 0.875 0.500
Sc 0.248 0.625 0.500
Sc 0.252 0.125 0.500
Sc 0.752 0.375 0.500
Sc 0.614 0.874 0.099
Sc 0.114 0.626 0.099
Sc 0.386 0.126 0.901
Sc 0.886 0.374 0.901
Tb 0.646 0.127 0.696
Tb 0.146 0.373 0.696
Tb 0.379 0.624 0.902
Tb 0.879 0.876 0.902
Tb 0.121 0.124 0.098
Tb 0.854 0.627 0.304
Tb 0.621 0.376 0.098
Tb 0.354 0.873 0.304
Y 0.850 0.123 0.304
Y 0.350 0.377 0.304
Y 0.650 0.623 0.696
Y 0.150 0.877 0.696

Record 3
This record from Alexandria describes a relaxed Ta4Re3W crystal. The functional is PBE.

Its formation energy is -0.354 eV/atom.

Unit cell a=3.209 b=3.209 c=12.878 alpha=90.00 beta=90.00 gamma=90.00
Element x y z (fractional)
Re 0.500 0.500 0.748
Re 0.500 0.500 0.500
Re 0.500 0.500 0.252
W 0.500 0.500 0.000
Ta 0.000 0.000 0.127
Ta 0.000 0.000 0.376
Ta 0.000 0.000 0.624
Ta 0.000 0.000 0.873

Record 4
This record from Alexandria describes a relaxed Co2AgCl6 crystal. The functional is PBE.

For the formation energy (no corrections), the calculation gives -523 meV/atom.

Unit cell a=6.584 b=8.716 c=8.716 alpha=85.17 beta=78.98 gamma=78.98
Element x y z (fractional)
Cl 0.126 0.133 0.606
Cl 0.374 0.394 0.867
Cl 0.423 0.709 0.577
Cl 0.866 0.198 0.039
Cl 0.577 0.291 0.423
Cl 0.874 0.867 0.394
Cl 0.366 0.039 0.198
Cl 0.923 0.577 0.709
Cl 0.077 0.423 0.291
Cl 0.634 0.961 0.802
Cl 0.134 0.802 0.961
Cl 0.626 0.606 0.133
Ag 0.250 0.117 0.883
Ag 0.750 0.883 0.117
Co 0.716 0.788 0.620
Co 0.216 0.620 0.788
Co 0.784 0.380 0.212
Co 0.284 0.212 0.380

Record 5
This record from Alexandria describes a relaxed Rh2C crystal. The functional is PBE.

Its formation energy is 0.510 eV/atom. The calculation puts the distance to the lowest polymorph of the same formula at 30.7 kJ per mole of atoms.

Unit cell a=4.846 b=4.846 c=2.835 alpha=84.73 beta=84.73 gamma=35.14
Element x y z (fractional)
Rh 0.364 0.364 0.705
Rh 0.636 0.636 0.295
C 0.000 0.000 0.500

Record 6
This record from Alexandria describes a relaxed Ac4AlZn2 crystal. The functional is PBE.

Its formation energy is -0.105 eV/atom. The calculation puts the distance to the lowest polymorph of the same formula at 2.9 kJ per mole of atoms.

Unit cell a=8.494 b=8.494 c=8.494 alpha=108.81 beta=110.81 gamma=108.81
Element x y z (fractional)
Ac 0.627 0.754 0.521
Ac 0.127 0.894 0.373
Ac 0.623 0.746 0.017
Ac 0.271 0.254 0.877
Ac 0.479 0.106 0.233
Ac 0.767 0.246 0.873
Ac 0.123 0.394 0.377
Ac 0.983 0.606 0.729
Al 0.750 0.500 0.250
Al 0.000 0.000 0.000
Zn 0.503 0.378 0.625
Zn 0.875 0.122 0.497
Zn 0.375 0.878 0.753
Zn 0.247 0.622 0.125

Record 7
This record from Alexandria describes a relaxed Sn2RuSe crystal. The functional is PBE.

For the formation energy (no corrections), the calculation gives 237 meV/atom.

Unit cell a=6.265 b=6.265 c=7.521 alpha=65.39 beta=65.39 gamma=90.00
Element x y z (fractional)
Ru 0.750 0.250 0.500
Ru 0.000 0.000 0.000
Sn 0.375 0.338 0.750
Sn 0.875 0.912 0.750
Sn 0.088 0.625 0.250
Sn 0.662 0.125 0.250
Se 0.250 0.750 0.500
Se 0.500 0.500 0.000

Record 8
This record from Alexandria describes a relaxed Ac2InH crystal. The functional is PBE.

The calculation puts the distance to the lowest polymorph of the same formula at 28.1 kJ per mole of atoms.

Unit cell a=3.735 b=3.735 c=8.110 alpha=90.00 beta=90.00 gamma=90.00
Element x y z (fractional)
Ac 0.000 0.000 0.774
Ac 0.000 0.000 0.226
In 0.500 0.500 0.500
H 0.500 0.500 0.000

Record 9
This record from Alexandria describes a relaxed Zr2CuW crystal. The functional is PBE.

Its formation energy is 0.329 eV/atom. The calculation puts the distance to the lowest polymorph of the same formula at 32.8 kJ per mole of atoms.

Unit cell a=9.990 b=9.990 c=9.990 alpha=16.94 beta=16.94 gamma=16.94
Element x y z (fractional)
Zr 0.504 0.504 0.504
Zr 0.996 0.996 0.996
Cu 0.250 0.250 0.250
W 0.750 0.750 0.750

Record 10
This record from Alexandria describes a relaxed YInSb2 crystal. The functional is PBE.

For the formation energy (no corrections), the calculation gives -424 meV/atom.

Unit cell a=5.762 b=5.762 c=5.762 alpha=132.35 beta=129.06 gamma=72.32
Element x y z (fractional)
Sb 0.001 0.001 0.000
Sb 0.499 0.499 0.000
Y 0.750 0.250 0.500
In 0.250 0.750 0.500

Record 11
This record from Alexandria describes a relaxed Co2MoP crystal. The functional is PBE.

Its formation energy is -0.074 eV/atom.

Unit cell a=4.519 b=4.519 c=4.519 alpha=133.56 beta=133.56 gamma=67.78
Element x y z (fractional)
Mo 0.250 0.750 0.500
Co 0.500 0.500 0.000
Co 0.000 0.000 0.000
P 0.750 0.250 0.500

Record 12
This record from Alexandria describes a relaxed Ba4Ac3ErTe8 crystal. The functional is PBE.

For the formation energy (no corrections), the calculation gives -1585 meV/atom.

Unit cell a=9.532 b=9.671 c=9.532 alpha=119.53 beta=120.00 gamma=90.00
Element x y z (fractional)
Ba 0.500 0.000 0.500
Ba 0.000 0.000 0.000
Ba 0.500 0.000 0.000
Ba 0.000 0.000 0.500
Ac 0.500 0.500 0.000
Ac 0.500 0.500 0.500
Ac 0.000 0.500 0.500
Te 0.766 0.273 0.008
Te 0.254 0.262 0.508
Te 0.242 0.273 0.008
Te 0.234 0.727 0.469
Te 0.766 0.273 0.531
Te 0.234 0.727 0.992
Te 0.758 0.727 0.992
Te 0.746 0.738 0.492
Er 0.000 0.500 0.000

| no. | size of the total moment (μB/atom) |
| --- | --- |
| 1 | 0.0001 |
| 2 | 0.0000 |
| 3 | 0.0000 |
| 4 | 0.7805 |
| 5 | 0.0000 |
| 6 | 0.0000 |
| 7 | 0.0000 |
| 8 | 0.0000 |
| 9 | 0.0000 |
| 10 | 0.0000 |
| 11 | 0.0000 |
| 12 | 0.0000 |